1.
The following is a PBE calculation of crystalline YAgP2S at its relaxed geometry, from Alexandria via LeMat-Bulk.

Its excess energy over the best structure of this formula in the dataset is 0 meV/atom.

The structure belongs to space group P4/mmm (No. 123); the cell edges are 4.7406, 4.7406 and 4.8966 Å and the angles 90.00°, 90.00° and 90.00°. The distinct sites, in fractional coordinates, are Y at (0.0000, 0.0000, 0.0000), Ag at (0.5000, 0.5000, 0.5000), P at (0.0000, 0.5000, 0.5000) and S at (0.5000, 0.5000, 0.0000).

---

2.
The following is a PBE calculation of crystalline YAg3P2S8 at its relaxed geometry, from Alexandria via LeMat-Bulk.

The structure belongs to space group C2/c (No. 15); the cell edges are 17.1292, 9.3430 and 9.4772 Å and the angles 90.00°, 122.96° and 90.00°. The distinct sites, in fractional coordinates, are Y at (0.0000, 0.0350, 0.2500), Ag at (0.0000, 0.4280, 0.2500), Ag at (0.1518, 0.3867, 0.0278), P at (0.0975, 0.2414, 0.6269), S at (0.0416, 0.1763, 0.0011), S at (0.1256, 0.4450, 0.7281), S at (0.1336, 0.2373, 0.4533) and S at (0.1672, 0.0914, 0.8114).

---

3.
The following is a PBE calculation of crystalline YAgP2S at its relaxed geometry, from Alexandria via LeMat-Bulk.

Its excess energy over the best structure of this formula in the dataset is 298 meV/atom.

The structure belongs to space group P4/mmm (No. 123); the cell edges are 5.3157, 5.3157 and 5.1731 Å and the angles 90.00°, 90.00° and 90.00°. The distinct sites, in fractional coordinates, are Y at (0.0000, 0.0000, 0.0000), Ag at (0.5000, 0.5000, 0.5000), P at (0.0000, 0.5000, 0.0000) and S at (0.0000, 0.0000, 0.5000).

---

4.
The following is a PBE calculation of crystalline ZnAg2PS4 at its relaxed geometry, from Alexandria via LeMat-Bulk.

The structure belongs to space group P1 (No. 1); the cell edges are 5.6257, 5.8822 and 6.4325 Å and the angles 66.02°, 66.40° and 87.26°. The distinct sites, in fractional coordinates, are Zn at (0.0000, 0.0000, 0.0000), Ag at (0.2622, 0.7705, 0.4755), Ag at (0.5055, 0.5190, 0.9774), P at (0.7278, 0.2395, 0.5061), S at (0.0967, 0.6317, 0.2324), S at (0.3780, 0.3225, 0.7348), S at (0.6355, 0.1277, 0.2677) and S at (0.8367, 0.9186, 0.7394).

---

5.
The following is a PBE calculation of crystalline ZnAg2P2S6 at its relaxed geometry, from Alexandria via LeMat-Bulk.

The structure belongs to space group C2/c (No. 15); the cell edges are 6.3202, 10.9354 and 28.4244 Å and the angles 90.00°, 95.11° and 90.00°. The distinct sites, in fractional coordinates, are Zn at (0.1247, 0.0672, 0.1248), Ag at (0.1106, 0.4065, 0.0697), Ag at (0.1418, 0.3955, 0.1787), P at (0.1161, 0.2630, 0.5846), P at (0.1406, 0.2698, 0.6646), S at (0.0015, 0.0927, 0.5649), S at (0.0831, 0.2090, 0.4350), S at (0.0908, 0.3986, 0.9384), S at (0.1555, 0.0900, 0.3154), S at (0.1602, 0.3012, 0.8158) and S at (0.2455, 0.3971, 0.3124).

---

6.
The following is a PBE calculation of crystalline ZrAgPS2 at its relaxed geometry, from Alexandria via LeMat-Bulk.

Its excess energy over the best structure of this formula in the dataset is 548 meV/atom.

The structure belongs to space group P4/mmm (No. 123); the cell edges are 4.6968, 4.6968 and 4.7637 Å and the angles 90.00°, 90.00° and 90.00°. The distinct sites, in fractional coordinates, are Zr at (0.0000, 0.0000, 0.0000), Ag at (0.5000, 0.5000, 0.5000), P at (0.5000, 0.5000, 0.0000) and S at (0.0000, 0.5000, 0.5000).

---

The calculation returns the following magnetization values, one per record and in order: 0.00 0.00 1.04 0.00 0.00 0.00 μB per formula unit.
The calculation returns the following formation energy from raw total energies values, one per record and in order: 178 -545 476 -181 -287 507 meV per atom.